VASP calculation (PBE) on a geometry-optimized LaSm2Mg structure.

Values from the calculation:
* calculated volume: 127.8 Å³/cell
* DFT formation energy: 0.1 kcal/mol of atoms
* space group: P4/mmm (123)
* density: 6.0 Mg/m³

Geometry as POSCAR:
```
LaSm2Mg
1.0
5.097 0.000 0.000
0.000 5.008 0.000
0.000 0.000 5.008
La Sm Mg
1 2 1
direct
0.500 0.500 0.500
0.000 0.500 0.000
0.000 0.000 0.500
0.500 0.000 0.000
```